Computed, not measured: a geometry-optimized PaInPt4 structure at the PBE-GGA level of DFT.

The space group is P2/m (No. 10) and the conventional cell measures 3.715, 3.721 and 8.251 Å, with angles of 90.00, 90.18 and 90.00 degrees. The distinct sites, in fractional coordinates, are Pa at (0.000, 0.000, 0.000), In at (0.500, 0.500, 0.500), Pt at (0.001, 0.000, 0.326) and Pt at (0.499, 0.500, 0.831).

For the formation energy, the calculation gives -0.6760 eV per atom. As for the magnetic moment: 0.00 μB per formula unit. Its crystal system is monoclinic.